No. 1
# CaTa2Ru2 GGA-PBE optimized geometry
data_CaTa2Ru2
_space_group_name_H-M_alt 'P 1'
_space_group_IT_number 1
_cell_length_a 7.8439
_cell_length_b 7.8439
_cell_length_c 3.0101
_cell_angle_alpha 90.00
_cell_angle_beta 90.00
_cell_angle_gamma 90.00
loop_
_space_group_symop_operation_xyz
'x,y,z'
loop_
_atom_site_label
_atom_site_fract_x
_atom_site_fract_y
_atom_site_fract_z
Ca1 0.0000 0.0000 0.0000
Ca2 0.5000 0.5000 0.0000
Ta1 0.1461 0.3539 0.5000
Ta2 0.3539 0.8539 0.5000
Ta3 0.6461 0.1461 0.5000
Ta4 0.8539 0.6461 0.5000
Ru1 0.1431 0.6431 0.0000
Ru2 0.3569 0.1431 0.0000
Ru3 0.6431 0.8569 0.0000
Ru4 0.8569 0.3569 0.0000
# ΔH_f (0 K)   -0.058 eV/atom
# E above lowest polymorph   110 meV per atom



No. 2
# CaTa2Ru GGA-PBE optimized geometry
data_CaTa2Ru
_space_group_name_H-M_alt 'P 1'
_space_group_IT_number 1
_cell_length_a 5.6585
_cell_length_b 5.6585
_cell_length_c 5.6585
_cell_angle_alpha 139.50
_cell_angle_beta 139.50
_cell_angle_gamma 58.61
loop_
_space_group_symop_operation_xyz
'x,y,z'
loop_
_atom_site_label
_atom_site_fract_x
_atom_site_fract_y
_atom_site_fract_z
Ca1 0.0000 0.0000 0.0000
Ta1 0.2500 0.7500 0.5000
Ta2 0.7500 0.2500 0.5000
Ru1 0.5000 0.5000 0.0000
# ΔH_f (0 K)   0.578 eV/atom
# E above lowest polymorph   452 meV per atom



No. 3
# CaTbRu4 GGA-PBE optimized geometry
data_CaTbRu4
_space_group_name_H-M_alt 'P 1'
_space_group_IT_number 1
_cell_length_a 5.3449
_cell_length_b 5.3449
_cell_length_c 5.3449
_cell_angle_alpha 60.00
_cell_angle_beta 60.00
_cell_angle_gamma 60.00
loop_
_space_group_symop_operation_xyz
'x,y,z'
loop_
_atom_site_label
_atom_site_fract_x
_atom_site_fract_y
_atom_site_fract_z
Ca1 0.0000 0.0000 0.0000
Tb1 0.7500 0.7500 0.7500
Ru1 0.3750 0.3750 0.3750
Ru2 0.3750 0.3750 0.8749
Ru3 0.3750 0.8749 0.3750
Ru4 0.8749 0.3750 0.3750
# ΔH_f (0 K)   -0.090 eV/atom